The following is a DFT calculation (GGA-PBE) of a geometry-optimized MnTeAs2 structure.

Cell: 4.686 4.686 6.624 Å, 68.12 68.12 45.15°
Fractional coordinates of all 4 atoms:
Mn1 0.555 0.555 0.629
As1 0.963 0.963 0.922
As2 0.837 0.837 0.650
Te1 0.146 0.146 0.299

Computed properties:
The total energy is -0.197 Ha/atom.

***

The following is a DFT calculation (GGA-PBE) of a geometry-optimized MnTeAs2 structure.

Cell: 5.982 5.982 7.001 Å, 64.71 64.71 90.00°
Fractional coordinates of all 8 atoms:
Te1 0.000 0.000 0.000
Te2 0.750 0.250 0.500
As1 0.537 0.125 0.250
As2 0.875 0.787 0.750
As3 0.213 0.625 0.250
As4 0.375 0.463 0.750
Mn1 0.250 0.750 0.500
Mn2 0.500 0.500 0.000

Computed properties:
The total energy is -0.186 Ha/atom.

***

The following is a DFT calculation (GGA-PBE) of a geometry-optimized Mn3TeAs structure.

Cell: 4.832 4.832 4.832 Å, 90.00 90.00 90.00°
Fractional coordinates of all 5 atoms:
Mn1 0.000 0.500 0.000
Mn2 0.500 0.000 0.000
Mn3 0.000 0.000 0.500
Te1 0.500 0.500 0.500
As1 0.000 0.000 0.000

Computed properties:
The calculation puts the energy above the most stable polymorph in this dataset at 0 meV/atom. The total energy is -0.243 Ha/atom.

***

The following is a DFT calculation (GGA-PBE) of a geometry-optimized MnTe2As structure.

Cell: 3.927 7.889 3.936 Å, 90.00 90.00 90.00°
Fractional coordinates of all 4 atoms:
Te1 0.000 0.000 0.000
Te2 0.500 0.500 0.000
As1 0.500 0.000 0.500
Mn1 0.000 0.500 0.500

Computed properties:
The total energy is -0.173 Ha/atom.

***

The following is a DFT calculation (GGA-PBE) of a geometry-optimized MnTe2As structure.

Cell: 5.903 5.903 5.903 Å, 141.11 95.92 96.80°
Fractional coordinates of all 4 atoms:
As1 0.750 0.250 0.500
Te1 0.492 0.492 0.000
Te2 0.008 0.008 0.000
Mn1 0.250 0.750 0.500

Computed properties:
The total energy is -0.172 Ha/atom.

***

The following is a DFT calculation (GGA-PBE) of a geometry-optimized Mn2TeAs structure.

Cell: 4.281 4.281 8.223 Å, 74.91 74.91 90.00°
Fractional coordinates of all 8 atoms:
As1 0.500 0.500 0.000
As2 0.250 0.750 0.500
Mn1 0.375 0.437 0.750
Mn2 0.187 0.625 0.250
Mn3 0.875 0.813 0.750
Mn4 0.563 0.125 0.250
Te1 0.750 0.250 0.500
Te2 0.000 0.000 0.000

Computed properties:
The calculation puts the energy above the most stable polymorph in this dataset at 558 meV/atom. The total energy is -0.222 Ha/atom.

***

The following is a DFT calculation (GGA-PBE) of a geometry-optimized MnTeAs2 structure.

Cell: 6.107 6.107 6.107 Å, 146.59 135.15 57.07°
Fractional coordinates of all 4 atoms:
As1 0.923 0.923 0.000
As2 0.577 0.577 0.000
Mn1 0.750 0.250 0.500
Te1 0.250 0.750 0.500

Computed properties:
The total energy is -0.190 Ha/atom.

***

The following is a DFT calculation (GGA-PBE) of a geometry-optimized MnTe2As structure.

Cell: 3.497 3.497 7.176 Å, 90.00 90.00 90.00°
Fractional coordinates of all 4 atoms:
Mn1 0.500 0.500 0.750
Te1 0.000 0.000 0.525
Te2 0.000 0.000 0.975
As1 0.500 0.500 0.250

Computed properties:
The total energy is -0.174 Ha/atom.

***

Number 1: E_form (uncorrected) 36 meV/atom. Number 2: E_form (uncorrected) 348 meV/atom. Number 3: E_form (uncorrected) 456 meV/atom. Number 4: E_form (uncorrected) 308 meV/atom. Number 5: E_form (uncorrected) 346 meV/atom. Number 6: E_form (uncorrected) 499 meV/atom. Number 7: E_form (uncorrected) 237 meV/atom. Number 8: E_form (uncorrected) 302 meV/atom.